Record 1
{
  "formula": "PmPd3",
  "functional": "PBE",
  "state": "relaxed",
  "formation_energy_mev_per_atom": -626.1,
  "magmom_total_mub_per_atom": 0.000,
  "sg": "Fm-3m (225)",
  "lattice": [[6.709, 0.000, 0.000], [0.000, 6.709, 0.000], [0.000, 0.000, 6.709]],
  "species": ["Pm", "Pm", "Pm", "Pm", "Pd", "Pd", "Pd", "Pd", "Pd", "Pd", "Pd", "Pd", "Pd", "Pd", "Pd", "Pd"],
  "frac_coords": [[0.000, 0.000, 0.000], [0.000, 0.500, 0.500], [0.500, 0.000, 0.500], [0.500, 0.500, 0.000], [0.000, 0.000, 0.500], [0.000, 0.500, 0.000], [0.250, 0.250, 0.250], [0.250, 0.250, 0.750], [0.250, 0.750, 0.250], [0.250, 0.750, 0.750], [0.500, 0.000, 0.000], [0.500, 0.500, 0.500], [0.750, 0.250, 0.250], [0.750, 0.250, 0.750], [0.750, 0.750, 0.250], [0.750, 0.750, 0.750]]
}

Record 2
{
  "formula": "MgZrV2Pd",
  "functional": "PBE",
  "state": "relaxed",
  "formation_energy_mev_per_atom": 1461.3,
  "magmom_total_mub_per_atom": 0.000,
  "sg": "P4/mmm (123)",
  "lattice": [[4.519, 0.000, 0.000], [0.000, 4.519, 0.000], [0.000, 0.000, 5.271]],
  "species": ["Mg", "Zr", "V", "V", "Pd"],
  "frac_coords": [[0.000, 0.000, 0.000], [0.000, 0.000, 0.500], [0.000, 0.500, 0.500], [0.500, 0.000, 0.500], [0.500, 0.500, 0.000]]
}

Record 3
{
  "formula": "K2NaRh",
  "functional": "PBE",
  "state": "relaxed",
  "formation_energy_mev_per_atom": 563.3,
  "magmom_total_mub_per_atom": 0.000,
  "sg": "Fm-3m (225)",
  "lattice": [[7.954, 0.000, 0.000], [0.000, 7.954, 0.000], [0.000, 0.000, 7.954]],
  "species": ["K", "K", "K", "K", "K", "K", "K", "K", "Na", "Na", "Na", "Na", "Rh", "Rh", "Rh", "Rh"],
  "frac_coords": [[0.250, 0.250, 0.250], [0.250, 0.250, 0.750], [0.250, 0.750, 0.250], [0.250, 0.750, 0.750], [0.750, 0.250, 0.250], [0.750, 0.250, 0.750], [0.750, 0.750, 0.250], [0.750, 0.750, 0.750], [0.000, 0.000, 0.000], [0.000, 0.500, 0.500], [0.500, 0.000, 0.500], [0.500, 0.500, 0.000], [0.000, 0.000, 0.500], [0.000, 0.500, 0.000], [0.500, 0.000, 0.000], [0.500, 0.500, 0.500]]
}

Record 4
{
  "formula": "Na2YThS4",
  "functional": "PBE",
  "state": "relaxed",
  "magmom_total_mub_per_atom": 0.000,
  "sg": "P2/m (10)",
  "e_form_raw_kj_per_mol_atoms": -166.7,
  "lattice": [[6.954, 0.000, 0.000], [0.000, 4.001, 0.000], [-2.295, 0.000, 6.771]],
  "species": ["Na", "Na", "Y", "Th", "S", "S", "S", "S"],
  "frac_coords": [[0.000, 0.000, 0.000], [0.500, 0.500, 0.000], [0.000, 0.500, 0.500], [0.500, 0.000, 0.500], [0.241, 0.000, 0.731], [0.249, 0.500, 0.262], [0.751, 0.500, 0.738], [0.759, 0.000, 0.269]]
}

Record 5
{
  "formula": "CeNd2Al",
  "functional": "PBE",
  "state": "relaxed",
  "formation_energy_mev_per_atom": 12.1,
  "magmom_total_mub_per_atom": 0.030,
  "sg": "F-43m (216)",
  "lattice": [[7.699, 0.000, 0.000], [0.000, 7.699, 0.000], [0.000, 0.000, 7.699]],
  "species": ["Ce", "Ce", "Ce", "Ce", "Nd", "Nd", "Nd", "Nd", "Nd", "Nd", "Nd", "Nd", "Al", "Al", "Al", "Al"],
  "frac_coords": [[0.000, 0.000, 0.000], [0.000, 0.500, 0.500], [0.500, 0.000, 0.500], [0.500, 0.500, 0.000], [0.000, 0.000, 0.500], [0.000, 0.500, 0.000], [0.250, 0.250, 0.250], [0.250, 0.750, 0.750], [0.500, 0.000, 0.000], [0.500, 0.500, 0.500], [0.750, 0.250, 0.750], [0.750, 0.750, 0.250], [0.250, 0.250, 0.750], [0.250, 0.750, 0.250], [0.750, 0.250, 0.250], [0.750, 0.750, 0.750]]
}

Record 6
{
  "formula": "KPaSnSe4",
  "functional": "PBE",
  "state": "relaxed",
  "magmom_total_mub_per_atom": 0.000,
  "sg": "Imma (74)",
  "e_form_raw_kj_per_mol_atoms": -105.4,
  "lattice": [[-4.347, 4.512, 6.256], [4.347, -4.512, 6.256], [4.347, 4.512, -6.256]],
  "species": ["K", "K", "Pa", "Pa", "Sn", "Sn", "Se", "Se", "Se", "Se", "Se", "Se", "Se", "Se"],
  "frac_coords": [[0.377, 0.127, 0.250], [0.623, 0.873, 0.750], [0.000, 0.000, 0.500], [0.000, 0.500, 0.000], [0.000, 0.500, 0.500], [0.500, 0.500, 0.000], [0.194, 0.741, 0.453], [0.212, 0.259, 0.953], [0.217, 0.240, 0.523], [0.217, 0.694, 0.977], [0.783, 0.306, 0.023], [0.783, 0.760, 0.477], [0.788, 0.741, 0.047], [0.806, 0.259, 0.547]]
}

Record 7
{
  "formula": "TlH3Se2",
  "functional": "PBE",
  "state": "relaxed",
  "magmom_total_mub_per_atom": 0.000,
  "final_energy_ev_per_cell": -40.01,
  "sg": "P-1 (2)",
  "lattice": [[5.035, 0.000, 0.000], [1.506, 7.254, 0.000], [1.916, 0.068, 7.854]],
  "species": ["Tl", "Tl", "H", "H", "H", "H", "H", "H", "Se", "Se", "Se", "Se"],
  "frac_coords": [[0.019, 0.085, 0.260], [0.981, 0.915, 0.740], [0.330, 0.617, 0.994], [0.354, 0.285, 0.804], [0.458, 0.331, 0.534], [0.542, 0.669, 0.466], [0.646, 0.715, 0.196], [0.670, 0.383, 0.006], [0.193, 0.341, 0.665], [0.394, 0.805, 0.975], [0.606, 0.195, 0.025], [0.807, 0.659, 0.335]]
}

Record 8
{
  "formula": "LiPr3Sb2",
  "functional": "PBE",
  "state": "relaxed",
  "magmom_total_mub_per_atom": 0.000,
  "sg": "Immm (71)",
  "e_form_raw_kj_per_mol_atoms": -45.4,
  "lattice": [[4.068, 0.000, 0.000], [0.000, 5.272, 0.000], [0.000, 0.000, 17.748]],
  "species": ["Li", "Li", "Pr", "Pr", "Pr", "Pr", "Pr", "Pr", "Sb", "Sb", "Sb", "Sb"],
  "frac_coords": [[0.000, 0.000, 0.000], [0.500, 0.500, 0.500], [0.000, 0.000, 0.177], [0.000, 0.000, 0.823], [0.000, 0.500, 0.000], [0.500, 0.000, 0.500], [0.500, 0.500, 0.323], [0.500, 0.500, 0.677], [0.000, 0.000, 0.355], [0.000, 0.000, 0.645], [0.500, 0.500, 0.145], [0.500, 0.500, 0.855]]
}

Record 9
{
  "formula": "YIr3Cl",
  "functional": "PBE",
  "state": "relaxed",
  "magmom_total_mub_per_atom": 0.671,
  "sg": "Pm-3m (221)",
  "e_form_raw_kj_per_mol_atoms": 211.5,
  "lattice": [[5.143, 0.000, 0.000], [0.000, 5.143, 0.000], [0.000, 0.000, 5.143]],
  "species": ["Y", "Ir", "Ir", "Ir", "Cl"],
  "frac_coords": [[0.000, 0.000, 0.000], [0.000, 0.000, 0.500], [0.000, 0.500, 0.000], [0.500, 0.000, 0.000], [0.500, 0.500, 0.500]]
}

Record 10
{
  "formula": "Re2SiPt",
  "functional": "PBE",
  "state": "relaxed",
  "magmom_total_mub_per_atom": 0.000,
  "sg": "P4/mmm (123)",
  "e_form_raw_kj_per_mol_atoms": -6.9,
  "lattice": [[2.904, 0.000, 0.000], [0.000, 2.904, 0.000], [0.000, 0.000, 6.781]],
  "species": ["Re", "Re", "Si", "Pt"],
  "frac_coords": [[0.000, 0.000, 0.214], [0.000, 0.000, 0.786], [0.500, 0.500, 0.000], [0.500, 0.500, 0.500]]
}

Record 11
{
  "formula": "KRb2BaPd",
  "functional": "PBE",
  "state": "relaxed",
  "formation_energy_mev_per_atom": 11.7,
  "magmom_total_mub_per_atom": 0.067,
  "sg": "P4/mmm (123)",
  "lattice": [[6.987, 0.000, 0.000], [0.000, 6.987, 0.000], [0.000, 0.000, 6.164]],
  "species": ["K", "Rb", "Rb", "Ba", "Pd"],
  "frac_coords": [[0.000, 0.000, 0.000], [0.000, 0.500, 0.500], [0.500, 0.000, 0.500], [0.500, 0.500, 0.000], [0.500, 0.500, 0.500]]
}

Record 12
{
  "formula": "TaTeIrPd2",
  "functional": "PBE",
  "state": "relaxed",
  "magmom_total_mub_per_atom": 0.000,
  "sg": "P4/mmm (123)",
  "e_form_raw_kj_per_mol_atoms": 86.6,
  "lattice": [[4.948, 0.000, 0.000], [0.000, 4.948, 0.000], [0.000, 0.000, 4.708]],
  "species": ["Ta", "Te", "Ir", "Pd", "Pd"],
  "frac_coords": [[0.000, 0.000, 0.000], [0.500, 0.500, 0.000], [0.000, 0.000, 0.500], [0.000, 0.500, 0.500], [0.500, 0.000, 0.500]]
}

Record 13
{
  "formula": "CrMo2P2",
  "functional": "PBE",
  "state": "relaxed",
  "formation_energy_mev_per_atom": -204.3,
  "magmom_total_mub_per_atom": 0.000,
  "sg": "P4/mbm (127)",
  "lattice": [[6.458, 0.000, 0.000], [0.000, 6.458, 0.000], [0.000, 0.000, 3.253]],
  "species": ["Cr", "Cr", "Mo", "Mo", "Mo", "Mo", "P", "P", "P", "P"],
  "frac_coords": [[0.000, 0.000, 0.000], [0.500, 0.500, 0.000], [0.149, 0.351, 0.500], [0.351, 0.851, 0.500], [0.649, 0.149, 0.500], [0.851, 0.649, 0.500], [0.152, 0.652, 0.000], [0.348, 0.152, 0.000], [0.652, 0.848, 0.000], [0.848, 0.348, 0.000]]
}

Record 14
{
  "formula": "NdSm2Tm9",
  "functional": "PBE",
  "state": "relaxed",
  "formation_energy_mev_per_atom": 27.4,
  "magmom_total_mub_per_atom": 0.000,
  "sg": "P4/mmm (123)",
  "lattice": [[4.988, 0.000, 0.000], [0.000, 4.988, 0.000], [0.000, 0.000, 14.963]],
  "species": ["Nd", "Sm", "Sm", "Tm", "Tm", "Tm", "Tm", "Tm", "Tm", "Tm", "Tm", "Tm"],
  "frac_coords": [[0.000, 0.000, 0.000], [0.000, 0.000, 0.334], [0.000, 0.000, 0.666], [0.000, 0.500, 0.167], [0.000, 0.500, 0.500], [0.000, 0.500, 0.833], [0.500, 0.000, 0.167], [0.500, 0.000, 0.500], [0.500, 0.000, 0.833], [0.500, 0.500, 0.000], [0.500, 0.500, 0.334], [0.500, 0.500, 0.666]]
}

Record 15
{
  "formula": "HfPa2Re",
  "functional": "PBE",
  "state": "relaxed",
  "formation_energy_mev_per_atom": 334.4,
  "magmom_total_mub_per_atom": 0.000,
  "sg": "R-3m (166)",
  "lattice": [[3.083, 0.000, 0.000], [-1.541, 2.670, 0.000], [0.000, 0.000, 31.935]],
  "species": ["Hf", "Hf", "Hf", "Pa", "Pa", "Pa", "Pa", "Pa", "Pa", "Re", "Re", "Re"],
  "frac_coords": [[0.000, 0.000, 0.000], [0.333, 0.667, 0.667], [0.667, 0.333, 0.333], [0.000, 0.000, 0.094], [0.000, 0.000, 0.906], [0.333, 0.667, 0.573], [0.333, 0.667, 0.760], [0.667, 0.333, 0.240], [0.667, 0.333, 0.427], [0.000, 0.000, 0.500], [0.333, 0.667, 0.167], [0.667, 0.333, 0.833]]
}

Record 16
{
  "formula": "PmSm2DyTm5",
  "functional": "PBE",
  "state": "relaxed",
  "formation_energy_mev_per_atom": 270.9,
  "magmom_total_mub_per_atom": 0.000,
  "sg": "I4/mcm (140)",
  "lattice": [[-4.343, 4.343, 7.589], [4.343, -4.343, 7.589], [4.343, 4.343, -7.589]],
  "species": ["Pm", "Pm", "Sm", "Sm", "Sm", "Sm", "Dy", "Dy", "Tm", "Tm", "Tm", "Tm", "Tm", "Tm", "Tm", "Tm", "Tm", "Tm"],
  "frac_coords": [[0.250, 0.250, 0.000], [0.750, 0.750, 0.000], [0.116, 0.616, 0.732], [0.384, 0.116, 0.500], [0.616, 0.884, 0.500], [0.884, 0.384, 0.268], [0.250, 0.750, 0.500], [0.750, 0.250, 0.500], [0.000, 0.000, 0.000], [0.073, 0.154, 0.500], [0.154, 0.654, 0.081], [0.346, 0.427, 0.500], [0.427, 0.927, 0.081], [0.500, 0.500, 0.000], [0.573, 0.073, 0.919], [0.654, 0.573, 0.500], [0.846, 0.346, 0.919], [0.927, 0.846, 0.500]]
}

Record 17
{
  "formula": "Cr2TeRh",
  "functional": "PBE",
  "state": "relaxed",
  "magmom_total_mub_per_atom": 0.667,
  "sg": "F-43m (216)",
  "e_form_raw_kj_per_mol_atoms": 21.8,
  "lattice": [[6.251, 0.000, 0.000], [0.000, 6.251, 0.000], [0.000, 0.000, 6.251]],
  "species": ["Cr", "Cr", "Cr", "Cr", "Cr", "Cr", "Cr", "Cr", "Te", "Te", "Te", "Te", "Rh", "Rh", "Rh", "Rh"],
  "frac_coords": [[0.000, 0.000, 0.000], [0.000, 0.500, 0.500], [0.250, 0.250, 0.250], [0.250, 0.750, 0.750], [0.500, 0.000, 0.500], [0.500, 0.500, 0.000], [0.750, 0.250, 0.750], [0.750, 0.750, 0.250], [0.250, 0.250, 0.750], [0.250, 0.750, 0.250], [0.750, 0.250, 0.250], [0.750, 0.750, 0.750], [0.000, 0.000, 0.500], [0.000, 0.500, 0.000], [0.500, 0.000, 0.000], [0.500, 0.500, 0.500]]
}

Record 18
{
  "formula": "AsIrSe",
  "functional": "PBE",
  "state": "relaxed",
  "magmom_total_mub_per_atom": 0.000,
  "sg": "F-43m (216)",
  "e_form_raw_kj_per_mol_atoms": -13.8,
  "lattice": [[6.091, 0.000, 0.000], [0.000, 6.091, 0.000], [0.000, 0.000, 6.091]],
  "species": ["As", "As", "As", "As", "Ir", "Ir", "Ir", "Ir", "Se", "Se", "Se", "Se"],
  "frac_coords": [[0.000, 0.000, 0.000], [0.000, 0.500, 0.500], [0.500, 0.000, 0.500], [0.500, 0.500, 0.000], [0.250, 0.250, 0.250], [0.250, 0.750, 0.750], [0.750, 0.250, 0.750], [0.750, 0.750, 0.250], [0.000, 0.000, 0.500], [0.000, 0.500, 0.000], [0.500, 0.000, 0.000], [0.500, 0.500, 0.500]]
}

Record 19
{
  "formula": "CaPuCl4",
  "functional": "PBE",
  "state": "relaxed",
  "magmom_total_mub_per_atom": 1.000,
  "sg": "C2/m (12)",
  "e_form_raw_kj_per_mol_atoms": -197.2,
  "lattice": [[12.824, 0.000, 0.000], [0.000, 4.139, 0.000], [-1.484, 0.000, 7.172]],
  "species": ["Ca", "Ca", "Pu", "Pu", "Cl", "Cl", "Cl", "Cl", "Cl", "Cl", "Cl", "Cl"],
  "frac_coords": [[0.000, 0.000, 0.000], [0.500, 0.500, 0.000], [0.000, 0.500, 0.500], [0.500, 0.000, 0.500], [0.113, 0.500, 0.880], [0.116, 0.000, 0.364], [0.384, 0.500, 0.636], [0.387, 0.000, 0.120], [0.613, 0.000, 0.880], [0.616, 0.500, 0.364], [0.884, 0.000, 0.636], [0.887, 0.500, 0.120]]
}

Record 20
{
  "formula": "HfV3Ni",
  "functional": "PBE",
  "state": "relaxed",
  "formation_energy_mev_per_atom": 711.1,
  "magmom_total_mub_per_atom": 0.180,
  "sg": "Pm-3m (221)",
  "lattice": [[4.391, 0.000, 0.000], [0.000, 4.391, 0.000], [0.000, 0.000, 4.391]],
  "species": ["Hf", "V", "V", "V", "Ni"],
  "frac_coords": [[0.000, 0.000, 0.000], [0.000, 0.500, 0.500], [0.500, 0.000, 0.500], [0.500, 0.500, 0.000], [0.500, 0.500, 0.500]]
}